# 1
DFT (PBE) results for crystalline PmDyNO at its relaxed geometry.

* magnetization: 0.00 μB per cell
* electronic total energy: -60.051 eV for the cell shown
* volume: 15.336 A^3/atom
* formation energy (no corrections): -178 kJ/mol of atoms

a = 3.2044 Å, b = 3.2084 Å, c = 11.9334 Å
α = 90.00°, β = 90.00°, γ = 90.00°
Space group Imm2 (No. 44)
Symmetry-distinct sites (fractional):
Pm (0.0000, 0.0000, 0.0000) x2
Dy (0.0000, 0.5000, 0.2569) x2
N (0.0000, 0.5000, 0.8419) x2
O (0.0000, 0.0000, 0.6021) x2


# 2
DFT (PBE) results for crystalline DyScNO at its relaxed geometry.

* magnetization: 0.00 μB per cell
* electronic total energy: -63.970 eV for the cell shown
* volume: 13.084 A^3/atom
* formation energy (no corrections): -187 kJ/mol of atoms

a = 3.0265 Å, b = 3.0662 Å, c = 11.2798 Å
α = 90.00°, β = 90.00°, γ = 90.00°
Space group Imm2 (No. 44)
Symmetry-distinct sites (fractional):
Dy (0.0000, 0.0000, 0.0000) x2
Sc (0.0000, 0.5000, 0.2592) x2
N (0.0000, 0.5000, 0.8390) x2
O (0.0000, 0.0000, 0.6017) x2


# 3
DFT (PBE) results for crystalline TbDyNO at its relaxed geometry.

* magnetization: 0.00 μB per cell
* electronic total energy: -60.248 eV for the cell shown
* volume: 14.697 A^3/atom
* formation energy (no corrections): -184 kJ/mol of atoms

a = 3.1544 Å, b = 3.1749 Å, c = 11.7403 Å
α = 90.00°, β = 90.00°, γ = 90.00°
Space group Imm2 (No. 44)
Symmetry-distinct sites (fractional):
Tb (0.0000, 0.0000, 0.0000) x2
Dy (0.0000, 0.5000, 0.2419) x2
N (0.0000, 0.5000, 0.6522) x2
O (0.0000, 0.0000, 0.4014) x2


# 4
DFT (PBE) results for crystalline Dy6Tl2NO at its relaxed geometry.

* magnetization: 0.00 μB per cell
* electronic total energy: -229.077 eV for the cell shown
* volume: 22.140 A^3/atom
* formation energy (no corrections): -112 kJ/mol of atoms

a = 9.6031 Å, b = 9.6031 Å, c = 9.6031 Å
α = 90.00°, β = 90.00°, γ = 90.00°
Space group Fm-3m (No. 225)
Symmetry-distinct sites (fractional):
Dy (0.0000, 0.0000, 0.2474) x24
Tl (0.2500, 0.2500, 0.2500) x8
N (0.0000, 0.0000, 0.0000) x4
O (0.0000, 0.0000, 0.5000) x4